# ScTaAu2

ScTaAu2 after structural relaxation (PBE, Alexandria).

Cell: 3.0161 3.0161 8.1083 Å, 90.00 90.00 90.00°
Space group P4/mmm (No. 123)
Symmetry-distinct sites (fractional):
Sc  0.0000  0.0000  0.0000 (multiplicity 1)
Ta  0.0000  0.0000  0.5000 (multiplicity 1)
Au  0.5000  0.5000  0.2535 (multiplicity 2)

Output
The final energy is -26.012 eV/f.u. The density of states at the Fermi level is 0.719 states/eV per atom. The value obtained for the distance to the lowest polymorph of the same formula is 0 meV/atom. The mass density comes out at 13.95 g/cm3. The calculation puts the formation enthalpy at 0 K at -0.3183 eV per atom.

***

# ScTaAu2

ScTaAu2 after structural relaxation (PBE, Alexandria).

Cell: 3.4496 3.4496 6.2868 Å, 90.00 90.00 90.00°
Space group P4mm (No. 99)
Symmetry-distinct sites (fractional):
Sc  0.0000  0.0000  0.0000 (multiplicity 1)
Ta  0.5000  0.5000  0.2876 (multiplicity 1)
Au  0.0000  0.0000  0.5080 (multiplicity 1)
Au  0.5000  0.5000  0.7728 (multiplicity 1)

Output
The final energy is -25.972 eV/f.u. The density of states at the Fermi level is 0.720 states/eV per atom. The value obtained for the distance to the lowest polymorph of the same formula is 10 meV/atom. The mass density comes out at 13.76 g/cm3. The calculation puts the formation enthalpy at 0 K at -0.3083 eV per atom.

***

# ScTaAu2

ScTaAu2 after structural relaxation (PBE, Alexandria).

Cell: 9.7640 3.0418 5.1231 Å, 90.00 101.25 90.00°
Space group Cm (No. 8)
Symmetry-distinct sites (fractional):
Sc  0.0000  0.0000  0.0000 (multiplicity 2)
Ta  0.2434  0.0000  0.6787 (multiplicity 2)
Au  0.2500  0.5000  0.1924 (multiplicity 2)
Au  0.4969  0.0000  0.4993 (multiplicity 2)

Output
The final energy is -25.698 eV/f.u. The density of states at the Fermi level is 1.002 states/eV per atom. The value obtained for the distance to the lowest polymorph of the same formula is 78 meV/atom. The mass density comes out at 13.79 g/cm3. The calculation puts the formation enthalpy at 0 K at -0.2398 eV per atom.

***

# ScTaAu4

ScTaAu4 after structural relaxation (PBE, Alexandria).

Cell: 7.7342 7.7342 7.7342 Å, 90.00 90.00 90.00°
Space group F-43m (No. 216)
Symmetry-distinct sites (fractional):
Sc  0.0000  0.0000  0.0000 (multiplicity 4)
Ta  0.2500  0.2500  0.7500 (multiplicity 4)
Au  0.1250  0.1250  0.3750 (multiplicity 16)

Output
The final energy is -30.753 eV/f.u. The density of states at the Fermi level is 1.048 states/eV per atom. The mass density comes out at 14.55 g/cm3. The calculation puts the formation enthalpy at 0 K at 0.0900 eV per atom.

***

# ScTaAu2

ScTaAu2 after structural relaxation (PBE, Alexandria).

Cell: 3.1573 3.1573 27.1646 Å, 90.00 90.00 120.00°
Space group R3m (No. 160, hexagonal axes)
Symmetry-distinct sites (fractional):
Sc  0.0000  0.0000  0.0000 (multiplicity 3)
Ta  0.0000  0.0000  0.2464 (multiplicity 3)
Au  0.0000  0.0000  0.5006 (multiplicity 3)
Au  0.0000  0.0000  0.7481 (multiplicity 3)

Output
The final energy is -25.108 eV/f.u. The density of states at the Fermi level is 0.579 states/eV per atom. The value obtained for the distance to the lowest polymorph of the same formula is 226 meV/atom. The mass density comes out at 13.17 g/cm3. The calculation puts the formation enthalpy at 0 K at -0.0922 eV per atom.

***

# Sc2TaTcAu

Sc2TaTcAu after structural relaxation (PBE, Alexandria).

Cell: 5.1303 5.1303 4.5996 Å, 90.00 90.00 90.00°
Space group P4/mmm (No. 123)
Symmetry-distinct sites (fractional):
Sc  0.0000  0.5000  0.0000 (multiplicity 2)
Ta  0.0000  0.0000  0.0000 (multiplicity 1)
Tc  0.0000  0.0000  0.5000 (multiplicity 1)
Au  0.5000  0.5000  0.5000 (multiplicity 1)

Output
The final energy is -33.609 eV/f.u. The density of states at the Fermi level is 1.015 states/eV per atom. The mass density comes out at 7.76 g/cm3. The calculation puts the formation enthalpy at 0 K at 0.9100 eV per atom.